Material: ScBe13
Method: DFT, PBEsol
State: optimized geometry

abc: 7.065 7.065 7.065
angles: 60.00 60.00 60.00
Atoms (fractional coordinates):
Be 0.293 0.938 0.062
Be 0.562 0.793 0.207
Be 0.438 0.207 0.793
Be 0.062 0.707 0.293
Be 0.207 0.438 0.562
Be 0.062 0.293 0.938
Be 0.562 0.207 0.438
Be 0.438 0.562 0.207
Be 0.207 0.562 0.793
Be 0.000 0.000 0.000
Be 0.938 0.707 0.062
Be 0.062 0.938 0.707
Be 0.707 0.062 0.938
Be 0.207 0.793 0.438
Be 0.293 0.062 0.707
Be 0.707 0.293 0.062
Be 0.938 0.062 0.293
Be 0.793 0.207 0.562
Sc 0.750 0.750 0.750
Be 0.793 0.562 0.438
Be 0.438 0.793 0.562
Be 0.562 0.438 0.793
Sc 0.250 0.250 0.250
Be 0.793 0.438 0.207
Be 0.707 0.938 0.293
Be 0.293 0.707 0.938
Be 0.938 0.293 0.707
Be 0.500 0.500 0.500

Summary:
* V: 8.91 Å³/atom
* formation energy: -2.24 eV/f.u.

=====

Material: CdAuI2O
Method: DFT, PBEsol
State: optimized geometry

abc: 3.975 5.766 5.766
angles: 90.00 90.00 90.00
Atoms (fractional coordinates):
Cd 0.000 0.000 0.000
O 0.500 0.000 0.000
I 0.000 0.500 0.000
I 0.000 0.000 0.500
Au 0.500 0.500 0.500

Summary:
* V: 26.43 Å³/atom
* formation energy from raw total energies: 362 meV/atom

=====

Material: Cd2InHg
Method: DFT, PBEsol
State: optimized geometry

abc: 3.147 4.425 6.385
angles: 90.00 90.00 90.00
Atoms (fractional coordinates):
In 0.500 0.500 0.752
Hg 0.000 0.000 0.491
Cd 0.500 0.500 0.248
Cd 0.000 0.000 0.010

Summary:
* V: 22.23 Å³/atom
* formation energy: 0.03 eV/f.u.

=====

Material: Cs2SbF
Method: DFT, PBEsol
State: optimized geometry

abc: 7.628 7.628 7.628
angles: 106.86 110.79 110.79
Atoms (fractional coordinates):
F 0.000 0.500 0.500
Sb 0.500 0.750 0.250
Cs 0.899 0.524 0.125
Cs 0.601 0.375 0.476
Sb 0.000 0.000 0.000
Cs 0.101 0.226 0.625
F 0.500 0.250 0.750
Cs 0.399 0.875 0.774

Summary:
* V: 42.64 Å³/atom
* formation energy from raw total energies: -1112 meV/atom

=====

Material: Y2MgCu9
Method: DFT, PBEsol
State: optimized geometry

abc: 4.993 4.993 8.623
angles: 73.17 73.17 60.00
Atoms (fractional coordinates):
Cu 0.667 0.667 0.999
Cu 0.582 0.080 0.756
Cu 0.333 0.333 0.001
Cu 0.418 0.418 0.244
Cu 0.418 0.920 0.244
Cu 0.920 0.418 0.244
Mg 0.000 0.000 0.000
Y 0.863 0.863 0.411
Cu 0.582 0.582 0.756
Cu 0.080 0.582 0.756
Cu 0.500 0.500 0.500
Y 0.137 0.137 0.589

Summary:
* V: 14.62 Å³/atom
* formation energy: -1.55 eV/f.u.

=====

Material: MoIrRu2
Method: DFT, PBEsol
State: optimized geometry

abc: 2.701 2.701 7.667
angles: 90.00 90.00 90.00
Atoms (fractional coordinates):
Ru 0.000 0.000 0.011
Mo 0.500 0.500 0.748
Ru 0.500 0.500 0.243
Ir 0.000 0.000 0.498

Summary:
* V: 13.99 Å³/atom
* formation energy: -0.11 eV/f.u.

=====

Q: The lowest V belongs to which entry?
A: ScBe13